[1]
Entry from Alexandria via LeMat-Bulk: a relaxed LiSiMo2 crystal (GGA-PBEsol).

The structure in POSCAR format:
```
LiSiMo2
1.0
-2.6160 -0.3272 0.3416
-0.4289 -1.0992 -4.3377
0.6752 -4.3236 1.0289
Li Mo Si
1 2 1
Direct
0.5000 0.0000 0.0000
0.0000 0.5000 0.0000
0.0000 0.0000 0.5000
0.5000 0.5000 0.5000
```

Its space group is P4/mmm. For the calculated total energy, the calculation gives -30.43 eV/cell. The total magnetic moment is 0.000 Bohr magnetons per cell. As for the raw formation energy: 0.21 eV/atom.

---

[2]
Entry from Alexandria via LeMat-Bulk: a relaxed Ca5P4 crystal (GGA-PBEsol).

The structure in POSCAR format:
```
Ca5P4
1.0
6.5805 0.0000 0.0000
0.0000 8.4751 0.0000
0.0000 -4.2376 7.3397
P Ca
8 10
Direct
0.2500 0.0000 0.5949
0.5000 0.0000 0.0000
0.7500 0.5949 0.5949
0.0000 0.0000 0.0000
0.2500 0.4051 0.4051
0.7500 0.4051 0.0000
0.2500 0.5949 0.0000
0.7500 0.0000 0.4051
0.0000 0.3333 0.6667
0.7500 0.2576 0.2576
0.5000 0.6667 0.3333
0.2500 0.0000 0.2576
0.7500 0.7424 0.0000
0.2500 0.2576 0.0000
0.0000 0.6667 0.3333
0.2500 0.7424 0.7424
0.5000 0.3333 0.6667
0.7500 0.0000 0.7424
```

Its space group is P6_3/mcm. For the calculated total energy, the calculation gives -85.09 eV/cell. The total magnetic moment is 0.003 Bohr magnetons per cell.

---

[3]
Entry from Alexandria via LeMat-Bulk: a relaxed Ru2WSe crystal (GGA-PBEsol).

The structure in POSCAR format:
```
Ru2WSe
1.0
2.8817 0.0000 0.0000
0.0000 4.5503 0.0103
0.0000 -0.8937 4.4617
Ru Se W
2 1 1
Direct
0.0000 0.5000 0.0000
0.0000 0.0000 0.5000
0.5000 0.0000 0.0000
0.5000 0.5000 0.5000
```

Its space group is Cmmm. For the calculated total energy, the calculation gives -36.49 eV/cell. The total magnetic moment is 0.000 Bohr magnetons per cell. As for the raw formation energy: 0.38 eV/atom.

---

[4]
Entry from Alexandria via LeMat-Bulk: a relaxed RbBaCl2 crystal (GGA-PBEsol).

The structure in POSCAR format:
```
RbBaCl2
1.0
-1.8700 -4.0603 -3.0938
2.6688 -4.7329 -0.1781
-2.1478 -4.4208 2.3235
Cl Rb Ba
2 1 1
Direct
0.7500 0.7500 0.7500
0.2500 0.2500 0.2500
0.0000 0.0000 0.0000
0.5000 0.5000 0.5000
```

Its space group is Fm-3m. For the calculated total energy, the calculation gives -13.68 eV/cell. The total magnetic moment is 0.459 Bohr magnetons per cell. As for the raw formation energy: -1.62 eV/atom.

---

[5]
Entry from Alexandria via LeMat-Bulk: a relaxed ZrCuC3 crystal (GGA-PBEsol).

The structure in POSCAR format:
```
ZrCuC3
1.0
-0.7981 -3.5979 2.0651
-0.9123 -1.8993 -3.6616
4.0469 -1.1377 -0.4182
Zr C Cu
1 3 1
Direct
0.0000 0.0000 0.0000
0.5000 0.0000 0.0000
0.0000 0.0000 0.5000
0.0000 0.5000 0.0000
0.5000 0.5000 0.5000
```

Its space group is Pm-3m. For the calculated total energy, the calculation gives -29.79 eV/cell. The total magnetic moment is 0.002 Bohr magnetons per cell.

---

[6]
Entry from Alexandria via LeMat-Bulk: a relaxed Cu2TeSe crystal (GGA-PBEsol).

The structure in POSCAR format:
```
Cu2TeSe
1.0
4.3039 0.0055 0.0082
-1.5863 4.3680 -0.0145
-1.5863 -1.7011 4.0232
Se Te Cu
1 1 2
Direct
0.5000 0.5000 0.5000
0.5000 0.0000 0.0000
0.0000 0.0000 0.5000
0.0000 0.5000 0.0000
```

Its space group is C2/m. For the calculated total energy, the calculation gives -15.45 eV/cell. The offset from the most stable computed form comes out at 195.4 meV per atom. The total magnetic moment is 0.000 Bohr magnetons per cell. As for the raw formation energy: 0.15 eV/atom.

---

[7]
Entry from Alexandria via LeMat-Bulk: a relaxed Cr2TeO6 crystal (GGA-PBEsol).

The structure in POSCAR format:
```
Cr2TeO6
1.0
-0.9080 2.2284 3.8485
2.8879 -2.6915 2.2398
6.8009 5.8254 -1.7684
Cr O Te
4 12 2
Direct
0.5000 0.5000 0.1675
0.0000 0.0000 0.3325
0.0000 0.0000 0.6675
0.5000 0.5000 0.8325
0.1992 0.8008 0.1753
0.6835 0.6835 0.0000
0.1992 0.8008 0.8247
0.6992 0.6992 0.6753
0.8008 0.1992 0.8247
0.3008 0.3008 0.3247
0.8008 0.1992 0.1753
0.3008 0.3008 0.6753
0.3165 0.3165 0.0000
0.6992 0.6992 0.3247
0.1835 0.8165 0.5000
0.8165 0.1835 0.5000
0.0000 0.0000 0.0000
0.5000 0.5000 0.5000
```

Its space group is P4_2/mnm. For the calculated total energy, the calculation gives -139.13 eV/cell. The total magnetic moment is 8.822 Bohr magnetons per cell. As for the raw formation energy: -1.56 eV/atom.

---

[8]
Entry from Alexandria via LeMat-Bulk: a relaxed ThAg2 crystal (GGA-PBEsol).

The structure in POSCAR format:
```
ThAg2
1.0
-0.7994 0.2928 -3.1880
4.4864 -1.1884 -1.2341
-3.3324 -3.4185 0.5216
Ag Th
2 1
Direct
0.0000 0.3333 0.6667
0.0000 0.6667 0.3333
0.5000 0.0000 0.0000
```

Its space group is P6/mmm. For the calculated total energy, the calculation gives -15.27 eV/cell. The total magnetic moment is 0.000 Bohr magnetons per cell.

---

[9]
Entry from Alexandria via LeMat-Bulk: a relaxed ErTmIn2 crystal (GGA-PBEsol).

The structure in POSCAR format:
```
ErTmIn2
1.0
-1.1811 1.7412 4.7255
-3.8727 -2.1636 2.6604
1.0232 -2.9037 4.1568
In Er Tm
2 1 1
Direct
0.7500 0.7500 0.7500
0.2500 0.2500 0.2500
0.5000 0.5000 0.5000
0.0000 0.0000 0.0000
```

Its space group is Fm-3m. For the calculated total energy, the calculation gives -17.74 eV/cell. The total magnetic moment is 0.000 Bohr magnetons per cell.

---

[10]
Entry from Alexandria via LeMat-Bulk: a relaxed CrCuSb3 crystal (GGA-PBEsol).

The structure in POSCAR format:
```
CrCuSb3
1.0
4.9076 0.0000 0.0000
0.0000 4.9076 0.0000
0.0000 0.0000 4.9076
Cu Sb Cr
1 3 1
Direct
0.5000 0.5000 0.5000
0.0000 0.5000 0.0000
0.5000 0.0000 0.0000
0.0000 0.0000 0.5000
0.0000 0.0000 0.0000
```

Its space group is Pm-3m. For the calculated total energy, the calculation gives -24.82 eV/cell. The total magnetic moment is 1.077 Bohr magnetons per cell. As for the raw formation energy: 0.69 eV/atom.

---

[11]
Entry from Alexandria via LeMat-Bulk: a relaxed Li2CaRu crystal (GGA-PBEsol).

The structure in POSCAR format:
```
Li2CaRu
1.0
-2.9639 -1.9520 0.9862
2.4832 -3.7629 0.0150
1.1544 3.4765 3.4720
Li Ru Ca
2 1 1
Direct
0.0140 0.0140 0.0280
0.7561 0.2561 0.5123
0.4836 0.4836 0.9672
0.2463 0.7463 0.4925
```

Its space group is Imm2. For the calculated total energy, the calculation gives -14.65 eV/cell. The offset from the most stable computed form comes out at 0.0 meV per atom. The total magnetic moment is 0.003 Bohr magnetons per cell.

---

[12]
Entry from Alexandria via LeMat-Bulk: a relaxed BeTc2Hg crystal (GGA-PBEsol).

The structure in POSCAR format:
```
BeTc2Hg
1.0
-4.0377 -0.8547 1.2776
-2.2726 -3.1096 -1.9574
-0.8714 -3.6798 2.0895
Tc Hg Be
2 1 1
Direct
0.0000 0.0000 0.0000
0.7500 0.7500 0.7500
0.2500 0.2500 0.2500
0.5000 0.5000 0.5000
```

Its space group is F-43m. For the calculated total energy, the calculation gives -25.24 eV/cell. The offset from the most stable computed form comes out at 84.1 meV per atom. The total magnetic moment is 0.000 Bohr magnetons per cell.

---

[13]
Entry from Alexandria via LeMat-Bulk: a relaxed BeCoHg3 crystal (GGA-PBEsol).

The structure in POSCAR format:
```
BeCoHg3
1.0
-0.4597 -2.4265 3.8395
3.8052 -2.3128 -1.0061
2.4799 3.0990 2.2555
Hg Be Co
3 1 1
Direct
0.5000 0.0000 0.0000
0.0000 0.0000 0.5000
0.0000 0.5000 0.0000
0.0000 0.0000 0.0000
0.5000 0.5000 0.5000
```

Its space group is Pm-3m. For the calculated total energy, the calculation gives -9.50 eV/cell. The total magnetic moment is 1.998 Bohr magnetons per cell.

---

[14]
Entry from Alexandria via LeMat-Bulk: a relaxed CoReI2 crystal (GGA-PBEsol).

The structure in POSCAR format:
```
CoReI2
1.0
5.7334 0.0000 0.0000
0.0000 5.7334 0.0000
-2.8667 -2.8667 5.7439
Re I Co
2 4 2
Direct
0.0000 0.0000 0.0000
0.2500 0.7500 0.5000
0.1250 0.1470 0.7500
0.6250 0.6030 0.7500
0.8530 0.3750 0.2500
0.3970 0.8750 0.2500
0.7500 0.2500 0.5000
0.5000 0.5000 0.0000
```

Its space group is I-42d. For the calculated total energy, the calculation gives -40.00 eV/cell. The offset from the most stable computed form comes out at 0.0 meV per atom. The total magnetic moment is 0.430 Bohr magnetons per cell. As for the raw formation energy: 1.15 eV/atom.

---

[15]
Entry from Alexandria via LeMat-Bulk: a relaxed Rb2SbI crystal (GGA-PBEsol).

The structure in POSCAR format:
```
Rb2SbI
1.0
-1.4456 6.5795 -1.7151
-7.4603 2.0648 0.1220
-0.0979 5.1558 5.7743
Sb I Rb
2 2 4
Direct
0.5000 0.0000 0.0000
0.2500 0.5000 0.5000
0.7500 0.5000 0.5000
0.0000 0.0000 0.0000
0.8750 0.4913 0.0087
0.6337 0.9913 0.4913
0.3750 0.5087 0.9913
0.1163 0.0087 0.5087
```

Its space group is I-42d. For the calculated total energy, the calculation gives -20.32 eV/cell. The total magnetic moment is 1.314 Bohr magnetons per cell. As for the raw formation energy: -0.45 eV/atom.

---

[16]
Entry from Alexandria via LeMat-Bulk: a relaxed YZr3 crystal (GGA-PBEsol).

The structure in POSCAR format:
```
YZr3
1.0
3.2565 0.0000 0.0000
0.0000 5.1736 0.0000
0.0000 0.0000 5.6916
Y Zr
1 3
Direct
0.0000 0.0000 0.0049
0.5000 0.5000 0.8167
0.0000 0.5000 0.3417
0.5000 0.0000 0.5033
```

Its space group is Pmm2. For the calculated total energy, the calculation gives -33.83 eV/cell. The offset from the most stable computed form comes out at 5.6 meV per atom. The total magnetic moment is 0.000 Bohr magnetons per cell.

---

[17]
Entry from Alexandria via LeMat-Bulk: a relaxed Ho4FeSn8 crystal (GGA-PBEsol).

The structure in POSCAR format:
```
Ho4FeSn8
1.0
4.3499 0.0000 0.0000
0.0000 4.3968 0.0000
0.0000 0.0000 16.1233
Sn Ho Fe
8 4 1
Direct
0.5000 0.0000 0.2343
0.5000 0.5000 0.7541
0.5000 0.0000 0.5773
0.0000 0.5000 0.9327
0.0000 0.5000 0.2356
0.5000 0.5000 0.0621
0.0000 0.0000 0.4551
0.0000 0.0000 0.7529
0.5000 0.0000 0.9018
0.0000 0.0000 0.0941
0.0000 0.5000 0.6039
0.5000 0.5000 0.3948
0.0000 0.0000 0.3045
```

Its space group is Pmm2. For the calculated total energy, the calculation gives -69.85 eV/cell. The total magnetic moment is 0.984 Bohr magnetons per cell.

---

[18]
Entry from Alexandria via LeMat-Bulk: a relaxed Fe2O3 crystal (GGA-PBEsol).

The structure in POSCAR format:
```
Fe2O3
1.0
4.8154 0.0000 0.0000
0.0000 4.9160 0.0000
0.0000 0.0000 6.8907
O Fe
12 8
Direct
0.1411 0.9021 0.6557
0.8065 0.2500 0.4998
0.8589 0.0979 0.1557
0.6935 0.7500 0.4998
0.3589 0.0979 0.3439
0.3065 0.2500 0.9998
0.6411 0.5979 0.1557
0.6411 0.9021 0.8439
0.8589 0.4021 0.8439
0.3589 0.4021 0.6557
0.1935 0.7500 0.9998
0.1411 0.5979 0.3439
0.9994 0.4618 0.1048
0.0006 0.5382 0.6048
0.0006 0.9618 0.3948
0.4994 0.4618 0.3948
0.5006 0.5382 0.8948
0.5006 0.9618 0.1048
0.4994 0.0382 0.6048
0.9994 0.0382 0.8948
```

Its space group is Pbcn. For the calculated total energy, the calculation gives -158.84 eV/cell. The total magnetic moment is 8.032 Bohr magnetons per cell. As for the raw formation energy: -1.21 eV/atom.

---

[19]
Entry from Alexandria via LeMat-Bulk: a relaxed BPOs2Pb crystal (GGA-PBEsol).

The structure in POSCAR format:
```
BPOs2Pb
1.0
-1.7757 -1.7888 4.2901
4.5797 0.3285 2.0325
-1.0139 4.6740 1.5292
B Os P Pb
1 2 1 1
Direct
0.5000 0.5000 0.5000
0.0000 0.5000 0.0000
0.0000 0.0000 0.5000
0.5000 0.0000 0.0000
0.0000 0.0000 0.0000
```

Its space group is P4/mmm. For the calculated total energy, the calculation gives -22.86 eV/cell. The total magnetic moment is 3.671 Bohr magnetons per cell.

---

[20]
Entry from Alexandria via LeMat-Bulk: a relaxed CaCo2As2 crystal (GGA-PBEsol).

The structure in POSCAR format:
```
CaCo2As2
1.0
3.9531 0.0000 0.0000
0.0000 3.9531 0.0000
-1.9765 -1.9765 5.0406
Co Ca As
2 1 2
Direct
0.2500 0.7500 0.5000
0.7500 0.2500 0.5000
0.0000 0.0000 0.0000
0.6336 0.6336 0.2671
0.3664 0.3664 0.7329
```

Its space group is I4/mmm. For the calculated total energy, the calculation gives -31.09 eV/cell. The total magnetic moment is 1.258 Bohr magnetons per cell.

---

[21]
Entry from Alexandria via LeMat-Bulk: a relaxed RbNbN2 crystal (GGA-PBEsol).

The structure in POSCAR format:
```
RbNbN2
1.0
4.1454 0.0000 0.0000
2.0727 3.5900 0.0000
2.0727 1.1967 3.3847
N Nb Rb
2 1 1
Direct
0.7500 0.7500 0.7500
0.2500 0.2500 0.2500
0.5000 0.5000 0.5000
0.0000 0.0000 0.0000
```

Its space group is Fm-3m. For the calculated total energy, the calculation gives -23.92 eV/cell. The total magnetic moment is 0.001 Bohr magnetons per cell. As for the raw formation energy: 1.24 eV/atom.

---

[22]
Entry from Alexandria via LeMat-Bulk: a relaxed Ca4ZnCoSi4O14 crystal (GGA-PBEsol).

The structure in POSCAR format:
```
Ca4ZnCoSi4O14
1.0
4.9966 0.0000 0.0000
0.0000 7.8026 0.0000
0.0000 0.0000 7.8026
Ca O Si Zn Co
4 14 4 1 1
Direct
0.0041 0.8245 0.6606
0.0041 0.1755 0.3394
0.9959 0.6606 0.1755
0.9959 0.3394 0.8245
0.7165 0.0926 0.8170
0.2430 0.8515 0.3652
0.2835 0.1830 0.0926
0.3152 0.5000 0.0000
0.2727 0.5745 0.6842
0.2430 0.1485 0.6348
0.7273 0.6842 0.4255
0.2835 0.8170 0.9074
0.7273 0.3158 0.5745
0.7570 0.3652 0.1485
0.2727 0.4255 0.3158
0.6848 0.0000 0.5000
0.7570 0.6348 0.8515
0.7165 0.9074 0.1830
0.5647 0.1443 0.6389
0.4353 0.3611 0.1443
0.5647 0.8557 0.3611
0.4353 0.6389 0.8557
0.5000 0.0000 0.0000
0.5000 0.5000 0.5000
```

Its space group is P-4. For the calculated total energy, the calculation gives -178.74 eV/cell. The total magnetic moment is 3.000 Bohr magnetons per cell. As for the raw formation energy: -2.68 eV/atom.

---

[23]
Entry from Alexandria via LeMat-Bulk: a relaxed Ba2BeCd crystal (GGA-PBEsol).

The structure in POSCAR format:
```
Ba2BeCd
1.0
4.2878 0.0000 0.0000
2.1439 3.7133 0.0000
2.1439 1.2378 9.3914
Ba Cd Be
2 1 1
Direct
0.7579 0.7579 0.7264
0.2421 0.2421 0.2736
0.0000 0.0000 0.0000
0.5000 0.5000 0.5000
```

Its space group is R-3m. For the calculated total energy, the calculation gives -7.89 eV/cell. The offset from the most stable computed form comes out at 127.1 meV per atom. The total magnetic moment is 0.002 Bohr magnetons per cell.

---

Number 1: calculated density 7.0 Mg/m³. Number 2: calculated density 2.6 Mg/m³. Number 3: calculated density 13.2 Mg/m³. Number 4: calculated density 4.3 Mg/m³. Number 5: calculated density 4.2 Mg/m³. Number 6: calculated density 7.3 Mg/m³. Number 7: calculated density 5.8 Mg/m³. Number 8: calculated density 11.3 Mg/m³. Number 9: calculated density 9.6 Mg/m³. Number 10: calculated density 6.8 Mg/m³. Number 11: calculated density 3.8 Mg/m³. Number 12: calculated density 11.8 Mg/m³. Number 13: calculated density 11.7 Mg/m³. Number 14: calculated density 8.8 Mg/m³. Number 15: calculated density 4.2 Mg/m³. Number 16: calculated density 6.3 Mg/m³. Number 17: calculated density 9.0 Mg/m³. Number 18: calculated density 6.5 Mg/m³. Number 19: calculated density 8.3 Mg/m³. Number 20: calculated density 6.5 Mg/m³. Number 21: calculated density 6.8 Mg/m³. Number 22: calculated density 3.4 Mg/m³. Number 23: calculated density 4.4 Mg/m³.